[1]
The following is a meta-GGA SCAN calculation of a crystal of CdAg2AuI relaxed with PBEsol, from the Alexandria database.

**SG**: P4/mmm, No. 123

CIF file:
```
data_CdAg2AuI
_cell_length_a 5.0151
_cell_length_b 5.1973
_cell_length_c 5.1973
_cell_angle_alpha 90.00
_cell_angle_beta 90.00
_cell_angle_gamma 90.00
_space_group_name_H-M_alt 'P 1'
_space_group_IT_number 1
_space_group_name_Hall 'P 1'
loop_
_atom_site_label
_atom_site_type_symbol
_atom_site_fract_x
_atom_site_fract_y
_atom_site_fract_z
I1 I 0.5000 0.5000 0.5000
Au1 Au 0.5000 0.0000 0.0000
Ag1 Ag 0.0000 0.0000 0.5000
Ag2 Ag 0.0000 0.5000 0.0000
Cd1 Cd 0.0000 0.0000 0.0000
```

***

[2]
The following is a meta-GGA SCAN calculation of a crystal of CdAgRuAu2 relaxed with PBEsol, from the Alexandria database.

**Formation enthalpy at 0 K**: 91.2 kJ/mol of atoms
**SG**: P4/mmm, No. 123

CIF file:
```
data_CdAgRuAu2
_cell_length_a 4.8986
_cell_length_b 4.8986
_cell_length_c 5.0181
_cell_angle_alpha 90.00
_cell_angle_beta 90.00
_cell_angle_gamma 90.00
_space_group_name_H-M_alt 'P 1'
_space_group_IT_number 1
_space_group_name_Hall 'P 1'
loop_
_atom_site_label
_atom_site_type_symbol
_atom_site_fract_x
_atom_site_fract_y
_atom_site_fract_z
Ru1 Ru 0.0000 0.0000 0.0000
Au1 Au 0.0000 0.5000 0.0000
Au2 Au 0.5000 0.0000 0.0000
Ag1 Ag 0.5000 0.5000 0.5000
Cd1 Cd 0.0000 0.0000 0.5000
```

***

[3]
The following is a meta-GGA SCAN calculation of a crystal of AgAuCl2 relaxed with PBEsol, from the Alexandria database.

**Offset from the most stable computed form**: 0.000 eV/atom
**SG**: C2/m, No. 12

CIF file:
```
data_AgAuCl2
_cell_length_a 3.6979
_cell_length_b 6.0280
_cell_length_c 4.5387
_cell_angle_alpha 93.68
_cell_angle_beta 90.00
_cell_angle_gamma 107.86
_space_group_name_H-M_alt 'P 1'
_space_group_IT_number 1
_space_group_name_Hall 'P 1'
loop_
_atom_site_label
_atom_site_type_symbol
_atom_site_fract_x
_atom_site_fract_y
_atom_site_fract_z
Au1 Au 0.5000 0.0000 0.0000
Ag1 Ag 0.0000 0.0000 0.5000
Cl1 Cl 0.6551 0.3102 0.7118
Cl2 Cl 0.3449 0.6898 0.2882
```

***

[4]
The following is a meta-GGA SCAN calculation of a crystal of Ag4AuCl relaxed with PBEsol, from the Alexandria database.

**SG**: F-43m, No. 216

CIF file:
```
data_Ag4AuCl
_cell_length_a 5.3981
_cell_length_b 5.3981
_cell_length_c 5.3981
_cell_angle_alpha 60.00
_cell_angle_beta 60.00
_cell_angle_gamma 60.00
_space_group_name_H-M_alt 'P 1'
_space_group_IT_number 1
_space_group_name_Hall 'P 1'
loop_
_atom_site_label
_atom_site_type_symbol
_atom_site_fract_x
_atom_site_fract_y
_atom_site_fract_z
Ag1 Ag 0.3754 0.3754 0.3754
Ag2 Ag 0.3754 0.3754 0.8737
Ag3 Ag 0.8737 0.3754 0.3754
Ag4 Ag 0.3754 0.8737 0.3754
Au1 Au 0.7500 0.7500 0.7500
Cl1 Cl 0.0000 0.0000 0.0000
```

***

[5]
The following is a meta-GGA SCAN calculation of a crystal of AgAuCl2 relaxed with PBEsol, from the Alexandria database.

**Offset from the most stable computed form**: 0.219 eV/atom
**SG**: I-42d, No. 122

CIF file:
```
data_AgAuCl2
_cell_length_a 5.1948
_cell_length_b 5.1948
_cell_length_c 7.9318
_cell_angle_alpha 109.12
_cell_angle_beta 109.12
_cell_angle_gamma 90.00
_space_group_name_H-M_alt 'P 1'
_space_group_IT_number 1
_space_group_name_Hall 'P 1'
loop_
_atom_site_label
_atom_site_type_symbol
_atom_site_fract_x
_atom_site_fract_y
_atom_site_fract_z
Au1 Au 0.2500 0.7500 0.5000
Au2 Au 0.0000 0.0000 0.0000
Ag1 Ag 0.7500 0.2500 0.5000
Ag2 Ag 0.5000 0.5000 0.0000
Cl1 Cl 0.8798 0.3750 0.2500
Cl2 Cl 0.3702 0.8750 0.2500
Cl3 Cl 0.6250 0.6298 0.7500
Cl4 Cl 0.1250 0.1202 0.7500
```

***

[6]
The following is a meta-GGA SCAN calculation of a crystal of AgAuCl2 relaxed with PBEsol, from the Alexandria database.

**Offset from the most stable computed form**: 0.018 eV/atom
**SG**: R-3m, No. 166

CIF file:
```
data_AgAuCl2
_cell_length_a 3.8765
_cell_length_b 3.8765
_cell_length_c 7.7790
_cell_angle_alpha 75.57
_cell_angle_beta 75.57
_cell_angle_gamma 60.00
_space_group_name_H-M_alt 'P 1'
_space_group_IT_number 1
_space_group_name_Hall 'P 1'
loop_
_atom_site_label
_atom_site_type_symbol
_atom_site_fract_x
_atom_site_fract_y
_atom_site_fract_z
Au1 Au 0.0000 0.0000 0.0000
Ag1 Ag 0.5000 0.5000 0.5000
Cl1 Cl 0.8987 0.8987 0.3040
Cl2 Cl 0.1013 0.1013 0.6960
```

***

[7]
The following is a meta-GGA SCAN calculation of a crystal of AgAuCl2 relaxed with PBEsol, from the Alexandria database.

**Offset from the most stable computed form**: 0.169 eV/atom
**SG**: Cmm2, No. 35

CIF file:
```
data_AgAuCl2
_cell_length_a 3.4754
_cell_length_b 3.4754
_cell_length_c 7.8719
_cell_angle_alpha 90.00
_cell_angle_beta 90.00
_cell_angle_gamma 116.26
_space_group_name_H-M_alt 'P 1'
_space_group_IT_number 1
_space_group_name_Hall 'P 1'
loop_
_atom_site_label
_atom_site_type_symbol
_atom_site_fract_x
_atom_site_fract_y
_atom_site_fract_z
Au1 Au 0.5000 0.5000 0.2573
Ag1 Ag 0.0000 0.0000 0.4937
Cl1 Cl 0.0000 0.0000 0.0577
Cl2 Cl 0.5000 0.5000 0.6913
```

***

[8]
The following is a meta-GGA SCAN calculation of a crystal of AgAuCl2 relaxed with PBEsol, from the Alexandria database.

**Offset from the most stable computed form**: 0.209 eV/atom
**SG**: P2/m, No. 10

CIF file:
```
data_AgAuCl2
_cell_length_a 3.7413
_cell_length_b 3.8864
_cell_length_c 5.5047
_cell_angle_alpha 92.58
_cell_angle_beta 90.00
_cell_angle_gamma 90.00
_space_group_name_H-M_alt 'P 1'
_space_group_IT_number 1
_space_group_name_Hall 'P 1'
loop_
_atom_site_label
_atom_site_type_symbol
_atom_site_fract_x
_atom_site_fract_y
_atom_site_fract_z
Au1 Au 0.0000 0.0000 0.5000
Ag1 Ag 0.5000 0.5000 0.0000
Cl1 Cl 0.0000 0.0000 0.0000
Cl2 Cl 0.5000 0.5000 0.5000
```

***

no.,VASP energy (eV/atom),N(E_F) (states/eV/cell)
1,-39.254,2.09
2,-46.039,2.03
3,-29.489,0.00
4,-33.538,3.28
5,-29.270,0.02
6,-29.471,0.00
7,-29.320,0.53
8,-29.280,0.76